This record from Alexandria via LeMat-Bulk describes a relaxed Cs2Ag2AuBr6 crystal. The functional is PBE.

Properties
Magnetic moment ... 0.00 μB per cell
Uncorrected formation energy ... -810 meV/atom
Fermi-level density of states ... 0.3427 states/eV per atom

Cell lengths 7.5908, 8.8932, 7.0256 Å; angles 103.74, 90.00, 115.26 degrees
Closest atoms and distances in Å follow each position.
Positions (direct):
Cs (0.2837, 0.5675, 0.7993)  8 Br 3.64-4.03
Cs (0.7163, 0.4325, 0.2007)  8 Br 3.64-4.03
Br (0.1987, 0.8762, 0.2361)  1 Au 2.60, 1 Ag 2.67
Br (0.6775, 0.8762, 0.2361)  1 Au 2.60, 1 Ag 2.67
Br (0.3225, 0.1238, 0.7639)  1 Au 2.60, 1 Ag 2.67
Br (0.7896, 0.5792, 0.7372)  1 Ag 2.56
Br (0.8013, 0.1238, 0.7639)  1 Au 2.60, 1 Ag 2.67
Br (0.2104, 0.4208, 0.2628)  1 Ag 2.56
Au (0.5000, 0.0000, 0.5000)  4 Br 2.60
Ag (0.0470, 0.0941, 0.2171)  3 Br 2.56-2.67
Ag (0.9530, 0.9059, 0.7829)  3 Br 2.56-2.67